The following is a PBE-GGA calculation of a relaxed Sb2IrPt crystal, from Alexandria via LeMat-Bulk.

Cell: 5.4669 5.4669 5.4669 Å, 136.41 136.41 63.34°
Sites, in units of the cell vectors:
Sb (0.2500, 0.7500, 0.5000)
Ir (0.5000, 0.5000, 0.0000)
Sb (0.0000, 0.0000, 0.0000)
Pt (0.7500, 0.2500, 0.5000)

## Properties
The energy above the lowest structure with this stoichiometry is 1.272 eV/f.u. Its formation energy from raw total energies is 4.4 kcal/mol of atoms. The calculation puts the density of states at the Fermi level at 2.57 states/eV/cell. The value obtained for the total DFT energy (no corrections) is -5.5970 eV/atom.